Rb3TbSb2O6 | GGA-PBE | optimized geometry

Unit cell a=6.2254 b=6.2254 c=7.5647 alpha=90.00 beta=90.00 gamma=120.00
With the nearest neighbours (Å) after each atom.
Sites, in units of the cell vectors:
Rb (0.3333, 0.6667, 0.6584)  9 O 3.09-3.12
Rb (0.6667, 0.3333, 0.3416)  9 O 3.09-3.12
Rb (0.0000, 0.0000, 0.0000)  6 O 3.05
Tb (0.0000, 0.0000, 0.5000)  6 O 2.30
Sb (0.6667, 0.3333, 0.8012)  3 O 1.96
Sb (0.3333, 0.6667, 0.1988)  3 O 1.96
O (0.6553, 0.8276, 0.3202)  1 Sb 1.96
O (0.1724, 0.3447, 0.3202)  1 Sb 1.96
O (0.1724, 0.8276, 0.3202)  1 Sb 1.96
O (0.8276, 0.6553, 0.6798)  1 Sb 1.96
O (0.3447, 0.1724, 0.6798)  1 Sb 1.96
O (0.8276, 0.1724, 0.6798)  1 Sb 1.96

Properties
Formation energy from raw total energies: -1975 meV per atom
Uncorrected energy: -5.769 eV per atom